[1]
A relaxed AsPbAu2 crystal, computed with PBE.

Output
SG = Cm
formation energy = 28 meV/atom
total magnetization = 0.0 μB per formula unit

Cell and atoms, written as POSCAR:
```
AsPbAu2
1.0
-2.057 3.209 1.557
-3.193 -0.616 2.525
2.286 0.941 6.403
Au Pb As
2 1 1
Direct
0.006 0.006 0.980
0.260 0.260 0.218
0.508 0.508 0.478
0.725 0.725 0.824
```

***

[2]
A relaxed CaEuAs2 crystal, computed with PBE.

Output
SG = R-3m
formation energy = -942 meV/atom
total magnetization = 6.2 μB per formula unit

Cell and atoms, written as POSCAR:
```
CaEuAs2
1.0
4.337 0.000 0.000
2.168 3.756 0.000
2.168 1.252 6.750
Ca Eu As
1 1 2
Direct
0.000 0.000 0.000
0.500 0.500 0.500
0.247 0.247 0.258
0.753 0.753 0.742
```

***

[3]
A relaxed Mg3CuBi crystal, computed with PBE.

Output
SG = Pm-3m
formation energy = 704 meV/atom
energy above the lowest structure with this stoichiometry = 653 meV per atom
total magnetization = 0.0 μB per formula unit

Cell and atoms, written as POSCAR:
```
Mg3CuBi
1.0
5.532 0.000 0.000
0.000 5.532 0.000
0.000 0.000 5.532
Cu Bi Mg
1 1 3
Direct
0.500 0.500 0.500
0.000 0.000 0.000
0.000 0.000 0.500
0.000 0.500 0.000
0.500 0.000 0.000
```

***

The highest formation energy belongs to which entry? Mg3CuBi

***

What is the total magnetization in the first record? 0.0 μB per formula unit